Below is a relaxed structure of Ac8La3Y, with properties calculated at the PBE level.

extended XYZ file:
```
12
Lattice="8.2949 -0.6810 -4.0412 -4.8894 7.7721 -1.1347 -0.4284 0.6810 9.2170" Properties=species:S:1:pos:R:3 pbc="T T T"
Ac 0.1583 2.9921 1.9814
Ac 4.8594 4.7800 3.4024
Ac 6.7182 1.8252 2.6812
Ac -4.5927 7.3005 4.7583
Ac 2.8338 1.6846 -0.0672
Ac -3.8296 6.0875 1.4944
Ac 5.5292 0.4716 -2.0597
Ac 0.2317 5.9469 3.9739
La 0.3733 5.6589 -0.5673
La 2.6038 2.1133 4.6085
La -2.6589 4.2266 4.0412
Y 0.0000 0.0000 0.0000
```

Symmetry   I-42m (121)

---

Below is a relaxed structure of Ac7LaY2, with properties calculated at the PBE level.

extended XYZ file:
```
10
Lattice="-3.9105 -0.9450 4.6596 5.7208 -7.0852 3.3641 6.9096 2.5643 6.3188" Properties=species:S:1:pos:R:3 pbc="T T T"
Ac 3.0607 -1.0956 2.3464
Ac 2.4063 -5.2098 5.0293
Ac 9.5696 -3.4253 7.3364
Ac 4.3599 -2.7329 7.1712
Ac 5.5641 -6.3401 7.4502
Ac 3.1558 0.8742 6.8923
Ac 6.3136 -0.2560 9.3131
Y 6.8974 -3.6412 9.1165
Y 1.8225 -1.8247 5.2259
La 0.0000 0.0000 0.0000
```

Symmetry   Cmmm (65)

---

Below is a relaxed structure of AcLa3Y2, with properties calculated at the PBE level.

extended XYZ file:
```
12
Lattice="-0.8566 3.6114 0.6108 -7.2943 -2.6468 -6.1634 -6.7935 -3.2039 9.4159" Properties=species:S:1:pos:R:3 pbc="T T T"
Y -12.0171 -3.1568 1.8112
Y -3.3968 -1.6020 4.7079
Y -2.9273 0.9175 2.0520
Y 0.0000 0.0000 0.0000
La -6.3516 -0.0801 3.1481
La -5.2439 -0.5798 -3.9265
La -9.7005 -1.6595 7.7897
La -8.5928 -2.1592 0.7151
La -8.1832 0.3451 -1.9349
La -6.7612 -2.5844 5.7981
Ac -5.0766 -1.1689 -0.2086
Ac -9.8678 -1.0703 4.0719
```

Excess energy over the best structure of this formula in the dataset   0.0000 eV/atom
Symmetry   Cmcm (63)

---

Below is a relaxed structure of AcLaY2, with properties calculated at the PBE level.

extended XYZ file:
```
4
Lattice="3.8109 0.0000 0.0000 0.0000 6.2843 -0.4653 0.0000 -1.2841 6.1692" Properties=species:S:1:pos:R:3 pbc="T T T"
La 1.9054 2.5001 2.8520
Ac 1.9054 0.0000 0.0000
Y 0.0000 3.1421 -0.2327
Y 0.0000 -0.6420 3.0846
```

Excess energy over the best structure of this formula in the dataset   0.0090 eV/atom
Symmetry   Cmmm (65)

---

Below is a relaxed structure of Ac3La2Y3, with properties calculated at the PBE level.

extended XYZ file:
```
16
Lattice="-5.6795 -0.3917 3.7770 -2.7137 -8.5714 -4.9696 2.9937 -9.1628 3.5513" Properties=species:S:1:pos:R:3 pbc="T T T"
Ac 0.8812 -7.1409 3.6739
Ac -6.2807 -10.9850 -1.3153
Ac -2.5863 -9.3198 4.4127
Ac -2.8131 -8.8062 -2.0540
Ac -6.3455 -6.8822 -0.9872
Ac -2.0477 -2.0809 -0.2055
Y -3.0151 -5.1367 -1.9772
Y -2.4997 -5.6802 4.9204
Y -0.7784 -9.0170 0.9837
Y -4.6210 -9.1089 1.3749
Y -0.1860 -3.8743 2.4079
Y -5.3780 -3.8264 0.7845
La 0.0933 -5.9114 -0.4728
La -2.6531 -12.0187 0.9429
La -2.7464 -6.1073 1.4157
La 0.1867 -11.8228 -0.9455
```

Symmetry   P6_3/mcm (193)

---

Below is a relaxed structure of Ac15La4Y, with properties calculated at the PBE level.

extended XYZ file:
```
20
Lattice="5.5564 0.0000 0.0000 0.0000 5.5564 0.0000 0.0000 0.0000 27.7113" Properties=species:S:1:pos:R:3 pbc="T T T"
Ac 0.0000 2.7782 24.9860
Ac 2.7782 2.7782 0.0000
Ac 2.7782 2.7782 22.2131
Ac 0.0000 2.7782 19.4227
Ac 2.7782 0.0000 19.4227
Ac 2.7782 0.0000 2.7253
Ac 2.7782 0.0000 8.2886
Ac 0.0000 2.7782 8.2886
Ac 2.7782 2.7782 11.0729
Ac 2.7782 0.0000 13.8556
Ac 2.7782 2.7782 5.4981
Ac 2.7782 2.7782 16.6383
Ac 0.0000 2.7782 13.8556
Ac 0.0000 2.7782 2.7253
Ac 2.7782 0.0000 24.9860
La 0.0000 0.0000 11.0723
La 0.0000 0.0000 22.2080
La 0.0000 0.0000 5.5033
La 0.0000 0.0000 16.6389
Y 0.0000 0.0000 0.0000
```

Symmetry   P4/mmm (123)

---

Below is a relaxed structure of Ac7La3Y, with properties calculated at the PBE level.

extended XYZ file:
```
11
Lattice="6.9392 0.0329 0.4832 0.4885 8.2909 0.9897 0.0151 -0.1446 8.3628" Properties=species:S:1:pos:R:3 pbc="T T T"
Ac 1.9614 6.2135 7.2348
Ac 5.4815 1.9657 2.6009
Ac 0.2518 4.0731 4.6762
Ac 2.0133 3.5136 1.2556
Ac 5.5902 7.5280 6.0782
Ac 5.4296 4.6656 8.5800
Ac 1.8527 0.6512 3.7575
Y 3.7214 4.0896 4.9178
La 0.0929 1.2409 7.1517
La 0.4107 6.9053 2.2007
La 3.4696 0.0165 0.2416
```

Symmetry   C2/m (12)

---

Below is a relaxed structure of AcLa8Y2, with properties calculated at the PBE level.

extended XYZ file:
```
11
Lattice="5.4948 0.0000 -1.6685 -1.0569 7.8277 -3.4806 -0.0410 -0.4290 9.7472" Properties=species:S:1:pos:R:3 pbc="T T T"
La 3.7063 6.2924 2.3237
La 5.1412 1.8850 7.0491
La 2.6330 6.4653 -1.2108
La -0.7443 5.5137 -2.4510
La 1.3451 4.0399 4.4297
La 3.0518 3.3588 0.1683
La 0.6906 1.1063 2.2743
La 1.7639 0.9334 5.8089
Ac 2.7474 0.0000 -0.8342
Y 4.0448 2.0772 3.4384
Y 0.3521 5.3214 1.1596
```

Excess energy over the best structure of this formula in the dataset   0.0000 eV/atom
Symmetry   Immm (71)

---

| no. | calculated formation energy (meV per atom) |
| --- | --- |
| 1 | 565 |
| 2 | 620 |
| 3 | 20 |
| 4 | 38 |
| 5 | 190 |
| 6 | 24 |
| 7 | 247 |
| 8 | 105 |